Entry from Alexandria via LeMat-Bulk: an optimized crystal structure of TbPrGePt (PBE-GGA).

Unit cell a=7.2476 b=7.2476 c=7.2476 alpha=90.00 beta=90.00 gamma=90.00
With the nearest neighbours (Å) after each atom.
Space group F-43m (No. 216)
One atom of each set of equivalent atoms:
Tb  0.0000  0.0000  0.0000 x4  4 Pt 3.14, 4 Ge 3.14
Pr  0.0000  0.0000  0.5000 x4  4 Ge 3.14, 4 Pt 3.14
Ge  0.2500  0.2500  0.7500 x4  4 Tb 3.14, 4 Pr 3.14
Pt  0.2500  0.2500  0.2500 x4  4 Tb 3.14, 4 Pr 3.14

The calculation puts the calculated density at 9.9 g/cm3. Its calculated formation energy is -3.41 eV/f.u. The total magnetic moment is 0.000 μB/cell. The density of states at the Fermi level is 6.20 states/eV/cell.